Entry 1:
Density functional theory data (PBE) for a relaxed NaTlBi3 crystal.

- volume (Å³ per cell) = 209.55
- energy (eV/atom) = -2.56
- polymorph energy (0 for the lowest one) (meV per atom) = 603
- theoretical density (g/cm3) = 6.8

Unit cell a=5.9396 b=5.9396 c=5.9396 alpha=90.00 beta=90.00 gamma=90.00
Closest atoms and distances in Å follow each position.
Atoms (fractional coordinates):
Na (0.0000, 0.0000, 0.0000)  12 Bi 4.20
Tl (0.5000, 0.5000, 0.5000)  6 Bi 2.97
Bi (0.0000, 0.5000, 0.5000)  2 Tl 2.97
Bi (0.5000, 0.0000, 0.5000)  2 Tl 2.97
Bi (0.5000, 0.5000, 0.0000)  2 Tl 2.97

Entry 2:
Density functional theory data (PBE) for a relaxed Sc2PSe2 crystal.

- volume (Å³ per cell) = 198.17
- energy (eV/atom) = -5.84
- polymorph energy (0 for the lowest one) (meV per atom) = 110
- ΔE_f (raw) (meV/atom) = -833
- theoretical density (g/cm3) = 4.7

Unit cell a=7.6928 b=7.6928 c=3.3487 alpha=90.00 beta=90.00 gamma=90.00
Closest atoms and distances in Å follow each position.
Atoms (fractional coordinates):
Sc (0.1627, 0.3373, 0.0000)  6 Se 2.75-2.86
Sc (0.3373, 0.8373, 0.0000)  6 Se 2.75-2.86
Sc (0.6627, 0.1627, 0.0000)  6 Se 2.75-2.86
Sc (0.8373, 0.6627, 0.0000)  6 Se 2.75-2.86
P (0.0000, 0.0000, 0.5000)  4 Se 2.98, 8 Sc 3.33
P (0.5000, 0.5000, 0.5000)  4 Se 2.98, 8 Sc 3.33
Se (0.1371, 0.6371, 0.5000)  6 Sc 2.75-2.86, 1 Se 2.98, 2 P 2.98
Se (0.3629, 0.1371, 0.5000)  6 Sc 2.75-2.86, 1 Se 2.98, 2 P 2.98
Se (0.6371, 0.8629, 0.5000)  6 Sc 2.75-2.86, 1 Se 2.98, 2 P 2.98
Se (0.8629, 0.3629, 0.5000)  6 Sc 2.75-2.86, 1 Se 2.98, 2 P 2.98

Entry 3:
Density functional theory data (PBE) for a relaxed Zn3IrPt crystal.

- volume (Å³ per cell) = 103.30
- energy (eV/atom) = -3.12
- polymorph energy (0 for the lowest one) (meV per atom) = 0
- theoretical density (g/cm3) = 9.4

Unit cell a=4.6921 b=4.6921 c=4.6921 alpha=90.00 beta=90.00 gamma=90.00
Closest atoms and distances in Å follow each position.
Atoms (fractional coordinates):
Zn (0.0000, 0.0000, 0.5000)  2 Ir 2.35
Zn (0.0000, 0.5000, 0.0000)  2 Ir 2.35
Zn (0.5000, 0.0000, 0.0000)  2 Ir 2.35
Ir (0.0000, 0.0000, 0.0000)  6 Zn 2.35
Pt (0.5000, 0.5000, 0.5000)  12 Zn 3.32

Entry 4:
Density functional theory data (PBE) for a relaxed ScMoRu crystal.

- volume (Å³ per cell) = 215.63
- energy (eV/atom) = -8.90
- polymorph energy (0 for the lowest one) (meV per atom) = 102
- theoretical density (g/cm3) = 7.5

Unit cell a=2.9941 b=2.9941 c=24.0531 alpha=90.00 beta=90.00 gamma=90.00
Closest atoms and distances in Å follow each position.
Atoms (fractional coordinates):
Sc (0.0000, 0.0000, 0.0676)  4 Ru 2.80, 4 Sc 2.99
Sc (0.0000, 0.0000, 0.9324)  4 Ru 2.80, 4 Sc 2.99
Sc (0.5000, 0.5000, 0.4324)  4 Ru 2.80, 4 Sc 2.99
Sc (0.5000, 0.5000, 0.5676)  4 Ru 2.80, 4 Sc 2.99
Mo (0.0000, 0.0000, 0.2094)  4 Ru 2.64, 4 Mo 2.88
Mo (0.0000, 0.0000, 0.7906)  4 Ru 2.64, 4 Mo 2.88
Mo (0.5000, 0.5000, 0.2906)  4 Ru 2.64, 4 Mo 2.88
Mo (0.5000, 0.5000, 0.7094)  4 Ru 2.64, 4 Mo 2.88
Ru (0.0000, 0.0000, 0.3560)  4 Mo 2.64, 4 Sc 2.80
Ru (0.0000, 0.0000, 0.6440)  4 Mo 2.64, 4 Sc 2.80
Ru (0.5000, 0.5000, 0.1440)  4 Mo 2.64, 4 Sc 2.80
Ru (0.5000, 0.5000, 0.8560)  4 Mo 2.64, 4 Sc 2.80